A plane-wave DFT calculation with PBE was carried out for a relaxed NdY2N3 crystal.

Cell: 6.130 6.130 6.129 Å, 99.59 99.59 120.00°
Element x y z (fractional)
Nd (0.000, 0.000, 0.000)
Nd (0.666, 0.334, 0.000)
N (0.921, 0.581, 0.743)
N (0.575, 0.908, 0.744)
N (0.419, 0.079, 0.257)
N (0.248, 0.254, 0.743)
N (0.746, 0.752, 0.257)
N (0.092, 0.425, 0.256)
Y (0.833, 0.167, 0.500)
Y (0.499, 0.501, 0.500)
Y (0.168, 0.832, 0.500)
Y (0.333, 0.667, 0.000)

Properties
Energy   -8.68 eV/atom
Volume   15.7 Å³ per atom
Size of the total moment   0.00 μB/f.u.
DOS at the Fermi energy   0.06 states/eV/f.u.
Mass density   6.43 g/cm3